[1]
# Sr2Zr

A crystal of Sr2Zr relaxed with PBEsol (meta-GGA SCAN, Alexandria).

Calculated values
ΔE_f ... 0.5720 eV/atom
Distance to the lowest polymorph of the same formula ... 0 meV/atom
Space-group type ... P-3m1
Calculated volume ... 35.15 Å³/atom
Calculated total energy ... -0.90077 Ha/atom

abc: 3.641 3.641 9.183
angles: 90.00 90.00 120.00
Fractional coordinates of all 3 atoms:
Zr (0.000, 0.000, 0.000)
Sr (0.667, 0.333, 0.698)
Sr (0.333, 0.667, 0.302)

=====

[2]
# SrZr3

A crystal of SrZr3 relaxed with PBEsol (meta-GGA SCAN, Alexandria).

Calculated values
ΔE_f ... 0.3954 eV/atom
Space-group type ... Pmm2
Calculated volume ... 26.67 Å³/atom
Calculated total energy ... -1.03624 Ha/atom

abc: 3.203 5.140 6.480
angles: 90.00 90.00 90.00
Fractional coordinates of all 4 atoms:
Zr (0.500, 0.000, 0.534)
Zr (0.000, 0.500, 0.357)
Zr (0.500, 0.500, 0.746)
Sr (0.000, 0.000, 0.030)

=====

[3]
# Sr3Zr2

A crystal of Sr3Zr2 relaxed with PBEsol (meta-GGA SCAN, Alexandria).

Calculated values
ΔE_f ... 0.7132 eV/atom
Space-group type ... P-3m1
Calculated volume ... 38.95 Å³/atom
Calculated total energy ... -0.91622 Ha/atom

abc: 5.480 5.480 7.489
angles: 90.00 90.00 120.00
Last column: magnetic moment on the atom in μB.
Fractional coordinates of all 5 atoms:
Zr (0.333, 0.667, 0.922)  0.68
Zr (0.667, 0.333, 0.078)  0.68
Sr (0.333, 0.667, 0.354)  0.06
Sr (0.000, 0.000, 0.000)  0.02
Sr (0.667, 0.333, 0.646)  0.06

=====

[4]
# Sr2Zr

A crystal of Sr2Zr relaxed with PBEsol (meta-GGA SCAN, Alexandria).

Calculated values
ΔE_f ... 0.8237 eV/atom
Distance to the lowest polymorph of the same formula ... 252 meV/atom
Space-group type ... P4/mmm
Calculated volume ... 41.52 Å³/atom
Calculated total energy ... -0.89152 Ha/atom

abc: 3.517 5.951 5.951
angles: 90.00 90.00 90.00
Last column: magnetic moment on the atom in μB.
Fractional coordinates of all 3 atoms:
Sr (0.500, 0.000, 0.500)  0.04
Sr (0.500, 0.500, 0.000)  0.04
Zr (0.000, 0.000, 0.000)  0.76

=====

[5]
# SrZr

A crystal of SrZr relaxed with PBEsol (meta-GGA SCAN, Alexandria).

Calculated values
ΔE_f ... 0.3722 eV/atom
Distance to the lowest polymorph of the same formula ... 0 meV/atom
Space-group type ... P4/nmm
Calculated volume ... 32.23 Å³/atom
Calculated total energy ... -0.95970 Ha/atom

abc: 3.390 3.390 11.218
angles: 90.00 90.00 90.00
Fractional coordinates of all 4 atoms:
Zr (0.500, 0.000, 0.084)
Zr (0.000, 0.500, 0.916)
Sr (0.500, 0.000, 0.656)
Sr (0.000, 0.500, 0.344)

=====

[6]
# SrZr3

A crystal of SrZr3 relaxed with PBEsol (meta-GGA SCAN, Alexandria).

Calculated values
ΔE_f ... 0.3885 eV/atom
Space-group type ... C2/m
Calculated volume ... 26.61 Å³/atom
Calculated total energy ... -1.03649 Ha/atom

abc: 3.160 5.463 6.469
angles: 94.99 90.00 106.81
Fractional coordinates of all 4 atoms:
Zr (0.762, 0.524, 0.306)
Zr (0.500, 0.000, 0.500)
Zr (0.238, 0.476, 0.694)
Sr (0.000, 0.000, 0.000)

=====

[7]
# SrZr

A crystal of SrZr relaxed with PBEsol (meta-GGA SCAN, Alexandria).

Calculated values
ΔE_f ... 0.4795 eV/atom
Distance to the lowest polymorph of the same formula ... 107 meV/atom
Space-group type ... Pmmn
Calculated volume ... 33.52 Å³/atom
Calculated total energy ... -0.95576 Ha/atom

abc: 3.334 4.555 8.827
angles: 90.00 90.00 90.00
Fractional coordinates of all 4 atoms:
Zr (0.500, 0.000, 0.053)
Zr (0.000, 0.500, 0.947)
Sr (0.500, 0.500, 0.327)
Sr (0.000, 0.000, 0.673)

=====

[8]
# SrZr3

A crystal of SrZr3 relaxed with PBEsol (meta-GGA SCAN, Alexandria).

Calculated values
ΔE_f ... 0.6419 eV/atom
Space-group type ... Fm-3m
Calculated volume ... 24.90 Å³/atom
Calculated total energy ... -1.02718 Ha/atom

abc: 5.203 5.203 5.203
angles: 60.00 60.00 60.00
Fractional coordinates of all 4 atoms:
Zr (0.250, 0.250, 0.250)
Zr (0.500, 0.500, 0.500)
Zr (0.750, 0.750, 0.750)
Sr (0.000, 0.000, 0.000)

=====

[9]
# SrZr

A crystal of SrZr relaxed with PBEsol (meta-GGA SCAN, Alexandria).

Calculated values
ΔE_f ... 0.9375 eV/atom
Distance to the lowest polymorph of the same formula ... 565 meV/atom
Space-group type ... Pm-3m
Calculated volume ... 30.84 Å³/atom
Calculated total energy ... -0.93893 Ha/atom

abc: 3.951 3.951 3.951
angles: 90.00 90.00 90.00
Last column: magnetic moment on the atom in μB.
Fractional coordinates of all 2 atoms:
Sr (0.000, 0.000, 0.000)  0.06
Zr (0.500, 0.500, 0.500)  0.38

=====

[10]
# SrZr2

A crystal of SrZr2 relaxed with PBEsol (meta-GGA SCAN, Alexandria).

Calculated values
ΔE_f ... 0.5083 eV/atom
Distance to the lowest polymorph of the same formula ... 6 meV/atom
Space-group type ... I4/mcm
Calculated volume ... 32.12 Å³/atom
Calculated total energy ... -1.00629 Ha/atom

abc: 5.566 5.566 7.361
angles: 112.22 112.22 90.00
Fractional coordinates of all 6 atoms:
Sr (0.750, 0.750, 0.500)
Sr (0.250, 0.250, 0.500)
Zr (0.329, 0.171, 0.000)
Zr (0.671, 0.829, 0.000)
Zr (0.171, 0.671, 0.000)
Zr (0.829, 0.329, 0.000)

=====

[11]
# Sr3Zr

A crystal of Sr3Zr relaxed with PBEsol (meta-GGA SCAN, Alexandria).

Calculated values
ΔE_f ... 0.5021 eV/atom
Space-group type ... Pm-3m
Calculated volume ... 39.78 Å³/atom
Calculated total energy ... -0.87754 Ha/atom

abc: 5.419 5.419 5.419
angles: 90.00 90.00 90.00
Last column: magnetic moment on the atom in μB.
Fractional coordinates of all 4 atoms:
Zr (0.000, 0.000, 0.000)  1.27
Sr (0.500, 0.000, 0.500)  0.04
Sr (0.000, 0.500, 0.500)  0.04
Sr (0.500, 0.500, 0.000)  0.04

=====

[12]
# SrZr3

A crystal of SrZr3 relaxed with PBEsol (meta-GGA SCAN, Alexandria).

Calculated values
ΔE_f ... 2.8130 eV/atom
Space-group type ... Pm-3m
Calculated volume ... 34.86 Å³/atom
Calculated total energy ... -0.94739 Ha/atom

abc: 5.186 5.186 5.186
angles: 90.00 90.00 90.00
Last column: magnetic moment on the atom in μB.
Fractional coordinates of all 4 atoms:
Zr (0.000, 0.000, 0.500)  0.45
Zr (0.500, 0.000, 0.000)  0.45
Zr (0.000, 0.500, 0.000)  0.45
Sr (0.000, 0.000, 0.000)  0.18

=====

[13]
# Ta2Tc

A crystal of Ta2Tc relaxed with PBEsol (meta-GGA SCAN, Alexandria).

Calculated values
ΔE_f ... -0.4486 eV/atom
Distance to the lowest polymorph of the same formula ... 0 meV/atom
Space-group type ... I4/mmm
Calculated volume ... 16.29 Å³/atom
Calculated total energy ... -2.07722 Ha/atom

abc: 3.164 3.164 5.369
angles: 107.14 107.14 90.00
Fractional coordinates of all 3 atoms:
Tc (0.500, 0.500, 0.000)
Ta (0.840, 0.840, 0.680)
Ta (0.160, 0.160, 0.320)

=====

[14]
# Ta5Tc

A crystal of Ta5Tc relaxed with PBEsol (meta-GGA SCAN, Alexandria).

Calculated values
ΔE_f ... -0.2110 eV/atom
Distance to the lowest polymorph of the same formula ... 0 meV/atom
Space-group type ... C2/m
Calculated volume ... 16.92 Å³/atom
Calculated total energy ... -2.26157 Ha/atom

abc: 3.204 5.386 6.512
angles: 107.98 90.00 107.31
Fractional coordinates of all 6 atoms:
Ta (0.660, 0.321, 0.838)
Ta (0.336, 0.671, 0.675)
Ta (0.664, 0.329, 0.325)
Ta (0.340, 0.679, 0.162)
Ta (0.000, 0.000, 0.500)
Tc (0.000, 0.000, 0.000)

=====

[15]
# Ta5Tc3

A crystal of Ta5Tc3 relaxed with PBEsol (meta-GGA SCAN, Alexandria).

Calculated values
ΔE_f ... -0.4425 eV/atom
Space-group type ... Cmmm
Calculated volume ... 16.08 Å³/atom
Calculated total energy ... -2.02873 Ha/atom

abc: 4.493 5.510 5.510
angles: 109.42 90.00 90.00
Fractional coordinates of all 8 atoms:
Ta (0.500, 0.254, 0.254)
Ta (0.000, 0.000, 0.000)
Ta (0.500, 0.746, 0.746)
Ta (0.000, 0.500, 0.000)
Ta (0.000, 0.000, 0.500)
Tc (0.500, 0.249, 0.751)
Tc (0.500, 0.751, 0.249)
Tc (0.000, 0.500, 0.500)

=====

[16]
# Ta2Tc

A crystal of Ta2Tc relaxed with PBEsol (meta-GGA SCAN, Alexandria).

Calculated values
ΔE_f ... 0.0502 eV/atom
Distance to the lowest polymorph of the same formula ... 499 meV/atom
Space-group type ... I4/mcm
Calculated volume ... 17.16 Å³/atom
Calculated total energy ... -2.05889 Ha/atom

abc: 5.025 5.178 5.178
angles: 76.38 60.97 60.97
Fractional coordinates of all 6 atoms:
Ta (0.844, 0.812, 0.500)
Ta (0.156, 0.188, 0.500)
Ta (0.344, 0.500, 0.812)
Ta (0.656, 0.500, 0.188)
Tc (0.750, 0.000, 0.000)
Tc (0.250, 0.000, 0.000)

=====

[17]
# Ta4Tc

A crystal of Ta4Tc relaxed with PBEsol (meta-GGA SCAN, Alexandria).

Calculated values
ΔE_f ... -0.2587 eV/atom
Space-group type ... I4/m
Calculated volume ... 16.79 Å³/atom
Calculated total energy ... -2.22470 Ha/atom

abc: 3.177 5.381 5.381
angles: 85.00 72.83 72.83
Fractional coordinates of all 5 atoms:
Ta (0.792, 0.802, 0.613)
Ta (0.406, 0.387, 0.802)
Ta (0.208, 0.198, 0.387)
Ta (0.594, 0.613, 0.198)
Tc (0.000, 0.000, 0.000)

=====

[18]
# Ta2Tc

A crystal of Ta2Tc relaxed with PBEsol (meta-GGA SCAN, Alexandria).

Calculated values
ΔE_f ... -0.4337 eV/atom
Distance to the lowest polymorph of the same formula ... 15 meV/atom
Space-group type ... Cmcm
Calculated volume ... 16.26 Å³/atom
Calculated total energy ... -2.07668 Ha/atom

abc: 3.182 4.495 7.003
angles: 90.00 103.13 90.00
Fractional coordinates of all 6 atoms:
Ta (0.920, 0.250, 0.840)
Ta (0.245, 0.250, 0.489)
Ta (0.080, 0.750, 0.160)
Ta (0.755, 0.750, 0.511)
Tc (0.582, 0.250, 0.165)
Tc (0.418, 0.750, 0.835)

=====

[19]
# Ta2Tc

A crystal of Ta2Tc relaxed with PBEsol (meta-GGA SCAN, Alexandria).

Calculated values
ΔE_f ... -0.2269 eV/atom
Distance to the lowest polymorph of the same formula ... 222 meV/atom
Space-group type ... Fmmm
Calculated volume ... 16.35 Å³/atom
Calculated total energy ... -2.06908 Ha/atom

abc: 2.823 2.823 6.791
angles: 97.65 97.65 111.09
Fractional coordinates of all 3 atoms:
Tc (0.000, 0.000, 0.000)
Ta (0.661, 0.661, 0.322)
Ta (0.339, 0.339, 0.678)

=====

[20]
# Ta5Tc

A crystal of Ta5Tc relaxed with PBEsol (meta-GGA SCAN, Alexandria).

Calculated values
ΔE_f ... -0.2064 eV/atom
Distance to the lowest polymorph of the same formula ... 5 meV/atom
Space-group type ... Cmmm
Calculated volume ... 16.91 Å³/atom
Calculated total energy ... -2.26140 Ha/atom

abc: 3.224 4.619 7.001
angles: 90.00 103.31 90.00
Fractional coordinates of all 6 atoms:
Ta (0.168, 0.000, 0.336)
Ta (0.339, 0.500, 0.678)
Ta (0.661, 0.500, 0.322)
Ta (0.500, 0.000, 0.000)
Ta (0.832, 0.000, 0.664)
Tc (0.000, 0.500, 0.000)